Here is In2HgIrPd after structural relaxation from Alexandria via LeMat-Bulk. Energies are from GGA-PBE.

Geometry as POSCAR:
```
In2HgIrPd
1.0
5.088 0.000 0.000
0.000 5.088 0.000
0.000 0.000 5.227
In Hg Ir Pd
2 1 1 1
Direct
0.000 0.500 0.000
0.500 0.000 0.000
0.000 0.000 0.500
0.000 0.000 0.000
0.500 0.500 0.500
```

- ΔH_f (0 K): 0.346 eV per atom
- Symmetry: No. 123
- Spin magnetization: 0.0 Bohr magnetons per cell


Here is MnSb2S4 after structural relaxation from Alexandria via LeMat-Bulk. Energies are from GGA-PBE.

Geometry as POSCAR:
```
MnSb2S4
1.0
11.524 0.000 0.000
0.000 3.839 0.000
0.000 0.000 14.636
Mn Sb S
4 8 16
Direct
0.181 0.250 0.167
0.319 0.750 0.667
0.681 0.250 0.333
0.819 0.750 0.833
0.045 0.250 0.616
0.142 0.750 0.944
0.358 0.250 0.444
0.455 0.750 0.116
0.545 0.250 0.884
0.642 0.750 0.556
0.858 0.250 0.056
0.955 0.750 0.384
0.042 0.750 0.097
0.075 0.250 0.318
0.200 0.250 0.731
0.225 0.750 0.512
0.275 0.250 0.012
0.300 0.750 0.231
0.425 0.750 0.818
0.458 0.250 0.597
0.542 0.750 0.403
0.575 0.250 0.182
0.700 0.250 0.769
0.725 0.750 0.988
0.775 0.250 0.488
0.800 0.750 0.269
0.925 0.750 0.682
0.958 0.250 0.903
```

- Symmetry: No. 62
- Spin magnetization: 20.0 Bohr magnetons per cell
- Energy above the lowest structure with this stoichiometry: 0.15 eV/f.u.
- ΔE_f (raw): -326 meV per atom


Here is Fe2PCl after structural relaxation from Alexandria via LeMat-Bulk. Energies are from GGA-PBE.

Geometry as POSCAR:
```
Fe2PCl
1.0
0.000 2.927 2.927
2.927 0.000 2.927
2.927 2.927 0.000
Fe P Cl
2 1 1
Direct
0.250 0.250 0.250
0.750 0.750 0.750
0.000 0.000 0.000
0.500 0.500 0.500
```

- Symmetry: No. 225
- Spin magnetization: 3.5 Bohr magnetons per cell
- Energy above the lowest structure with this stoichiometry: 2.72 eV/f.u.
- ΔE_f (raw): 378 meV per atom


Calculated Fermi-level density of states (states/eV/f.u.), listed in the same order as above: 2.76; 0.01; 3.51